# CeDyEr, relaxed, DFT PBE
# Size of the total moment: 0.7 μB per formula unit
# Energy relative to the lowest polymorph listed for this composition: 48 meV/atom
# ΔH_f (0 K): 0.111 eV per atom
# Electronic total energy: -4.922 eV per atom
# Crystal system: orthorhombic
data_CeDyEr
_cell_length_a 6.817
_cell_length_b 11.198
_cell_length_c 9.697
_cell_angle_alpha 90.00
_cell_angle_beta 90.00
_cell_angle_gamma 90.00
_space_group_name_H-M_alt 'C m c e'
_space_group_IT_number 64
_space_group_name_Hall '-C 2ac 2'
loop_
_atom_site_label
_atom_site_type_symbol
_atom_site_fract_x
_atom_site_fract_y
_atom_site_fract_z
Ce1 Ce 0.250 0.125 0.250
Dy1 Dy 0.000 0.125 0.584
Er1 Er 0.000 0.125 0.917